# 1
# PBE MgSc4Ru, relaxed
# Polymorph energy (0 for the lowest one) in eV per atom: 0.6249
data_MgSc4Ru
_cell_length_a 7.9861
_cell_length_b 7.9861
_cell_length_c 7.9861
_cell_angle_alpha 90.00
_cell_angle_beta 90.00
_cell_angle_gamma 90.00
_symmetry_space_group_name_H-M 'F -4 3 m'
_symmetry_Int_Tables_number 216
_symmetry_space_group_name_Hall 'F -4 2 3'
loop_
_atom_site_label
_atom_site_fract_x
_atom_site_fract_y
_atom_site_fract_z
Mg1 0.0000 0.0000 0.0000
Sc1 0.1226 0.1226 0.3774
Ru1 0.2500 0.2500 0.7500

# 2
# PBE K2LiSb2, relaxed
# E_form (uncorrected) in eV/f.u.: -2.0
# Polymorph energy (0 for the lowest one) in eV per atom: 0.0000
data_K2LiSb2
_cell_length_a 10.9463
_cell_length_b 6.9530
_cell_length_c 9.3098
_cell_angle_alpha 90.00
_cell_angle_beta 98.54
_cell_angle_gamma 90.00
_symmetry_space_group_name_H-M 'C 1 2/c 1'
_symmetry_Int_Tables_number 15
loop_
_symmetry_equiv_pos_as_xyz
'x,y,z'
'-x,-y,-z'
'-x,y,-z+1/2'
'x,-y,z+1/2'
'x+1/2,y+1/2,z'
'-x+1/2,-y+1/2,-z'
'-x+1/2,y+1/2,-z+1/2'
'x+1/2,-y+1/2,z+1/2'
loop_
_atom_site_label
_atom_site_fract_x
_atom_site_fract_y
_atom_site_fract_z
K1 0.1537 0.1360 0.1553
Li1 0.0000 0.4432 0.7500
Sb1 0.1351 0.3525 0.5074

# 3
# PBE NdGd2, relaxed
# Polymorph energy (0 for the lowest one) in eV per atom: 0.0000
data_NdGd2
_cell_length_a 5.7374
_cell_length_b 5.7374
_cell_length_c 3.5203
_cell_angle_alpha 90.00
_cell_angle_beta 90.00
_cell_angle_gamma 120.00
_symmetry_space_group_name_H-M 'P 6/m m m'
_symmetry_Int_Tables_number 191
_symmetry_space_group_name_Hall '-P 6 2'
loop_
_atom_site_label
_atom_site_fract_x
_atom_site_fract_y
_atom_site_fract_z
Nd1 0.0000 0.0000 0.0000
Gd1 0.3333 0.6667 0.5000

# 4
# PBE SiAgP2, relaxed
# E_form (uncorrected) in eV/f.u.: 0.9
data_SiAgP2
_cell_length_a 4.1814
_cell_length_b 2.7042
_cell_length_c 13.4667
_cell_angle_alpha 90.00
_cell_angle_beta 90.00
_cell_angle_gamma 90.00
_symmetry_space_group_name_H-M 'A m m 2'
_symmetry_Int_Tables_number 38
loop_
_symmetry_equiv_pos_as_xyz
'x,y,z'
'-x,-y,z'
'-x,y,z'
'x,-y,z'
'x,y+1/2,z+1/2'
'-x,-y+1/2,z+1/2'
'-x,y+1/2,z+1/2'
'x,-y+1/2,z+1/2'
loop_
_atom_site_label
_atom_site_fract_x
_atom_site_fract_y
_atom_site_fract_z
Si1 0.0000 0.0000 0.0000
Ag1 0.5000 0.0000 0.2700
P1 0.0000 0.0000 0.8330
P2 0.5000 0.0000 0.0762

# 5
# PBE Nd2ZnFe2Ni5, relaxed
# Electronic total energy in eV per atom: -5.70
data_Nd2ZnFe2Ni5
_cell_length_a 9.0166
_cell_length_b 9.0166
_cell_length_c 3.8042
_cell_angle_alpha 90.00
_cell_angle_beta 90.00
_cell_angle_gamma 90.00
_symmetry_space_group_name_H-M 'P 4/m b m'
_symmetry_Int_Tables_number 127
_symmetry_space_group_name_Hall '-P 4 2ab'
loop_
_atom_site_label
_atom_site_fract_x
_atom_site_fract_y
_atom_site_fract_z
Nd1 0.1876 0.3124 0.0000
Zn1 0.0000 0.0000 0.0000
Fe1 0.1088 0.6088 0.0000
Ni1 0.0000 0.5000 0.5000
Ni2 0.0576 0.7862 0.5000

# 6
# PBE CeZnNiPd, relaxed
# Polymorph energy (0 for the lowest one) in eV per atom: 0.0000
data_CeZnNiPd
_cell_length_a 4.3204
_cell_length_b 4.3204
_cell_length_c 13.6211
_cell_angle_alpha 90.00
_cell_angle_beta 90.00
_cell_angle_gamma 120.00
_symmetry_space_group_name_H-M 'R 3 m'
_symmetry_Int_Tables_number 160
_symmetry_space_group_name_Hall 'R 3 -2"'
loop_
_atom_site_label
_atom_site_fract_x
_atom_site_fract_y
_atom_site_fract_z
Ce1 0.0000 0.0000 0.0000
Zn1 0.0000 0.0000 0.5107
Ni1 0.0000 0.0000 0.2100
Pd1 0.0000 0.0000 0.7845

# 7
# PBE Ho4TmIr2, relaxed
# Electronic total energy in eV per atom: -6.34
data_Ho4TmIr2
_cell_length_a 7.8073
_cell_length_b 6.2709
_cell_length_c 7.8467
_cell_angle_alpha 90.00
_cell_angle_beta 112.49
_cell_angle_gamma 90.00
_symmetry_space_group_name_H-M 'P 1 21/m 1'
_symmetry_Int_Tables_number 11
loop_
_symmetry_equiv_pos_as_xyz
'x,y,z'
'-x,-y,-z'
'-x,y+1/2,-z'
'x,-y+1/2,z'
loop_
_atom_site_label
_atom_site_fract_x
_atom_site_fract_y
_atom_site_fract_z
Ho1 0.0163 0.2500 0.3801
Ho2 0.2466 0.7500 0.3332
Ho3 0.4161 0.0028 0.7641
Tm1 0.1574 0.2500 0.0300
Ir1 0.2545 0.7500 0.9849
Ir2 0.3746 0.2500 0.4106

# 8
# PBE TlICl, relaxed
# E_form (uncorrected) in eV/f.u.: -1.7
# Polymorph energy (0 for the lowest one) in eV per atom: 0.1047
data_TlICl
_cell_length_a 6.7929
_cell_length_b 4.2998
_cell_length_c 8.3206
_cell_angle_alpha 90.00
_cell_angle_beta 104.87
_cell_angle_gamma 90.00
_symmetry_space_group_name_H-M 'P 1 2/m 1'
_symmetry_Int_Tables_number 10
loop_
_symmetry_equiv_pos_as_xyz
'x,y,z'
'-x,-y,-z'
'-x,y,-z'
'x,-y,z'
loop_
_atom_site_label
_atom_site_fract_x
_atom_site_fract_y
_atom_site_fract_z
Tl1 0.0000 0.0000 0.0000
Tl2 0.0000 0.5000 0.5000
I1 0.3001 0.0000 0.3128
Cl1 0.2025 0.5000 0.8893

# 9
# PBE Zr2CuPt8, relaxed
# Electronic total energy in eV per atom: -6.96
data_Zr2CuPt8
_cell_length_a 4.0176
_cell_length_b 8.0331
_cell_length_c 11.6664
_cell_angle_alpha 90.00
_cell_angle_beta 90.00
_cell_angle_gamma 90.00
_symmetry_space_group_name_H-M 'I m m m'
_symmetry_Int_Tables_number 71
_symmetry_space_group_name_Hall '-I 2 2'
loop_
_atom_site_label
_atom_site_fract_x
_atom_site_fract_y
_atom_site_fract_z
Zr1 0.0000 0.0000 0.1555
Cu1 0.0000 0.0000 0.5000
Pt1 0.0000 0.2458 0.3401
Pt2 0.0000 0.2630 0.0000
Pt3 0.0000 0.5000 0.1798

# 10
# PBE LiHfTeN2, relaxed
# E_form (uncorrected) in eV/f.u.: 0.3
# Polymorph energy (0 for the lowest one) in eV per atom: 0.0000
data_LiHfTeN2
_cell_length_a 4.2152
_cell_length_b 4.2152
_cell_length_c 5.8179
_cell_angle_alpha 90.00
_cell_angle_beta 90.00
_cell_angle_gamma 90.00
_symmetry_space_group_name_H-M 'P 4/m m m'
_symmetry_Int_Tables_number 123
_symmetry_space_group_name_Hall '-P 4 2'
loop_
_atom_site_label
_atom_site_fract_x
_atom_site_fract_y
_atom_site_fract_z
Li1 0.0000 0.0000 0.0000
Hf1 0.5000 0.5000 0.5000
Te1 0.5000 0.5000 0.0000
N1 0.0000 0.5000 0.5000

# 11
# PBE ScBe2As, relaxed
# Electronic total energy in eV per atom: -4.65
data_ScBe2As
_cell_length_a 4.0021
_cell_length_b 5.1164
_cell_length_c 5.8029
_cell_angle_alpha 90.00
_cell_angle_beta 90.00
_cell_angle_gamma 90.00
_symmetry_space_group_name_H-M 'C m m 2'
_symmetry_Int_Tables_number 35
loop_
_symmetry_equiv_pos_as_xyz
'x,y,z'
'-x,-y,z'
'-x,y,z'
'x,-y,z'
'x+1/2,y+1/2,z'
'-x+1/2,-y+1/2,z'
'-x+1/2,y+1/2,z'
'x+1/2,-y+1/2,z'
loop_
_atom_site_label
_atom_site_fract_x
_atom_site_fract_y
_atom_site_fract_z
Sc1 0.0000 0.0000 0.0000
Be1 0.0000 0.0000 0.5260
Be2 0.0000 0.5000 0.6942
As1 0.0000 0.5000 0.3024

# 12
# PBE Zn2RhSe, relaxed
# E_form (uncorrected) in eV/f.u.: -0.3
data_Zn2RhSe
_cell_length_a 3.8614
_cell_length_b 3.8614
_cell_length_c 8.2582
_cell_angle_alpha 90.00
_cell_angle_beta 90.00
_cell_angle_gamma 90.00
_symmetry_space_group_name_H-M 'I 4/m m m'
_symmetry_Int_Tables_number 139
_symmetry_space_group_name_Hall '-I 4 2'
loop_
_atom_site_label
_atom_site_fract_x
_atom_site_fract_y
_atom_site_fract_z
Zn1 0.0000 0.5000 0.2500
Rh1 0.0000 0.0000 0.0000
Se1 0.0000 0.0000 0.5000

# 13
# PBE Hf2ZrFe, relaxed
# Polymorph energy (0 for the lowest one) in eV per atom: 0.0000
data_Hf2ZrFe
_cell_length_a 3.2930
_cell_length_b 10.8972
_cell_length_c 8.7126
_cell_angle_alpha 90.00
_cell_angle_beta 90.00
_cell_angle_gamma 90.00
_symmetry_space_group_name_H-M 'C m c m'
_symmetry_Int_Tables_number 63
_symmetry_space_group_name_Hall '-C 2c 2'
loop_
_atom_site_label
_atom_site_fract_x
_atom_site_fract_y
_atom_site_fract_z
Hf1 0.0000 0.1397 0.0616
Zr1 0.0000 0.4281 0.2500
Fe1 0.0000 0.2625 0.7500

# 14
# PBE ScPaCdTc, relaxed
# Electronic total energy in eV per atom: -6.76
data_ScPaCdTc
_cell_length_a 6.9776
_cell_length_b 6.9776
_cell_length_c 6.9776
_cell_angle_alpha 90.00
_cell_angle_beta 90.00
_cell_angle_gamma 90.00
_symmetry_space_group_name_H-M 'F -4 3 m'
_symmetry_Int_Tables_number 216
_symmetry_space_group_name_Hall 'F -4 2 3'
loop_
_atom_site_label
_atom_site_fract_x
_atom_site_fract_y
_atom_site_fract_z
Sc1 0.0000 0.0000 0.0000
Pa1 0.0000 0.0000 0.5000
Cd1 0.2500 0.2500 0.7500
Tc1 0.2500 0.2500 0.2500

# 15
# PBE Pt2CO, relaxed
# E_form (uncorrected) in eV/f.u.: 1.9
# Polymorph energy (0 for the lowest one) in eV per atom: 0.0000
data_Pt2CO
_cell_length_a 5.0822
_cell_length_b 5.0822
_cell_length_c 8.5874
_cell_angle_alpha 90.00
_cell_angle_beta 90.00
_cell_angle_gamma 90.00
_symmetry_space_group_name_H-M 'I -4 2 d'
_symmetry_Int_Tables_number 122
_symmetry_space_group_name_Hall 'I -4 2bw'
loop_
_atom_site_label
_atom_site_fract_x
_atom_site_fract_y
_atom_site_fract_z
Pt1 0.2080 0.2500 0.1250
C1 0.0000 0.0000 0.0000
O1 0.0000 0.0000 0.5000

# 16
# PBE Th6GaC, relaxed
# Electronic total energy in eV per atom: -7.22
data_Th6GaC
_cell_length_a 9.4173
_cell_length_b 9.4173
_cell_length_c 8.5526
_cell_angle_alpha 90.00
_cell_angle_beta 90.00
_cell_angle_gamma 120.00
_symmetry_space_group_name_H-M 'R -3'
_symmetry_Int_Tables_number 148
_symmetry_space_group_name_Hall '-R 3'
loop_
_atom_site_label
_atom_site_fract_x
_atom_site_fract_y
_atom_site_fract_z
Th1 0.0591 0.8165 0.1675
Ga1 0.0000 0.0000 0.5000
C1 0.0000 0.0000 0.0000

# 17
# PBE ScBi2Pd, relaxed
# Electronic total energy in eV per atom: -5.23
data_ScBi2Pd
_cell_length_a 5.1726
_cell_length_b 5.1726
_cell_length_c 3.4597
_cell_angle_alpha 90.00
_cell_angle_beta 90.00
_cell_angle_gamma 90.00
_symmetry_space_group_name_H-M 'P 4/m m m'
_symmetry_Int_Tables_number 123
_symmetry_space_group_name_Hall '-P 4 2'
loop_
_atom_site_label
_atom_site_fract_x
_atom_site_fract_y
_atom_site_fract_z
Sc1 0.0000 0.0000 0.0000
Bi1 0.0000 0.5000 0.5000
Pd1 0.5000 0.5000 0.0000

# 18
# PBE Li2CaY2Ga2, relaxed
# Electronic total energy in eV per atom: -3.81
data_Li2CaY2Ga2
_cell_length_a 4.6634
_cell_length_b 4.6634
_cell_length_c 27.2418
_cell_angle_alpha 90.00
_cell_angle_beta 90.00
_cell_angle_gamma 120.00
_symmetry_space_group_name_H-M 'R -3 m'
_symmetry_Int_Tables_number 166
_symmetry_space_group_name_Hall '-R 3 2"'
loop_
_atom_site_label
_atom_site_fract_x
_atom_site_fract_y
_atom_site_fract_z
Li1 0.0000 0.0000 0.1006
Ca1 0.0000 0.0000 0.5000
Y1 0.0000 0.0000 0.3729
Ga1 0.0000 0.0000 0.2461

# 19
# PBE Nd4CoI2Br, relaxed
# E_form (uncorrected) in eV/f.u.: -6.4
data_Nd4CoI2Br
_cell_length_a 7.8157
_cell_length_b 4.1040
_cell_length_c 8.1955
_cell_angle_alpha 90.00
_cell_angle_beta 106.46
_cell_angle_gamma 90.00
_symmetry_space_group_name_H-M 'P 1 2/m 1'
_symmetry_Int_Tables_number 10
loop_
_symmetry_equiv_pos_as_xyz
'x,y,z'
'-x,-y,-z'
'-x,y,-z'
'x,-y,z'
loop_
_atom_site_label
_atom_site_fract_x
_atom_site_fract_y
_atom_site_fract_z
Nd1 0.1918 0.0000 0.1872
Nd2 0.2263 0.5000 0.8011
Co1 0.0000 0.5000 0.0000
I1 0.0000 0.0000 0.5000
I2 0.5000 0.5000 0.5000
Br1 0.5000 0.0000 0.0000